Ta3InI after structural relaxation, computed with PBEsol.

Cell lengths 5.0261, 5.0261, 5.0261 Å; angles 90.00, 90.00, 90.00 degrees
Fractional positions:
Ta (0.0000, 0.0000, 0.5000)
Ta (0.5000, 0.0000, 0.0000)
Ta (0.0000, 0.5000, 0.0000)
I (0.5000, 0.5000, 0.5000)
In (0.0000, 0.0000, 0.0000)

The density comes out at 10.3 Mg/m³. As for the formation energy without anion corrections: 2.315 eV per atom. The value obtained for the density of states at the Fermi level is 9.94 states/eV/f.u. The total magnetization is 0.0 μB per cell. The space-group type is Pm-3m.

---

TaIn3I after structural relaxation, computed with PBEsol.

Cell lengths 5.7623, 5.7623, 5.7623 Å; angles 90.00, 90.00, 90.00 degrees
Fractional positions:
I (0.0000, 0.0000, 0.0000)
Ta (0.5000, 0.5000, 0.5000)
In (0.5000, 0.0000, 0.0000)
In (0.0000, 0.0000, 0.5000)
In (0.0000, 0.5000, 0.0000)

The density comes out at 5.7 Mg/m³. As for the formation energy without anion corrections: 1.737 eV per atom. The value obtained for the density of states at the Fermi level is 5.93 states/eV/f.u. The total magnetization is 3.3 μB per cell. The space-group type is Pm-3m.

---

InTcI3 after structural relaxation, computed with PBEsol.

Cell lengths 5.4712, 5.4712, 5.4712 Å; angles 90.00, 90.00, 90.00 degrees
Fractional positions:
In (0.5000, 0.5000, 0.5000)
I (0.0000, 0.0000, 0.5000)
I (0.5000, 0.0000, 0.0000)
I (0.0000, 0.5000, 0.0000)
Tc (0.0000, 0.0000, 0.0000)

The density comes out at 6.0 Mg/m³. As for the formation energy without anion corrections: 0.196 eV per atom. The value obtained for the density of states at the Fermi level is 3.32 states/eV/f.u. The total magnetization is 2.8 μB per cell. The space-group type is Pm-3m.

---

In2Te2I after structural relaxation, computed with PBEsol.

Cell lengths 5.2828, 5.2828, 6.6284 Å; angles 113.48, 113.48, 90.00 degrees
Fractional positions:
I (0.0000, 0.0000, 0.0000)
In (0.6262, 0.6262, 0.2524)
In (0.3738, 0.3738, 0.7476)
Te (0.2500, 0.7500, 0.5000)
Te (0.7500, 0.2500, 0.5000)

The density comes out at 6.6 Mg/m³. As for the formation energy without anion corrections: -0.164 eV per atom. The value obtained for the density of states at the Fermi level is 3.28 states/eV/f.u. Its energy above the most stable polymorph in this dataset is 0.303 eV per formula unit. The total magnetization is 0.0 μB per cell. The space-group type is I4/mmm.

---

In2Te2I after structural relaxation, computed with PBEsol.

Cell lengths 5.0986, 5.0986, 7.3119 Å; angles 110.40, 110.40, 90.00 degrees
Fractional positions:
Te (0.3630, 0.3630, 0.7261)
Te (0.6370, 0.6370, 0.2739)
I (0.0000, 0.0000, 0.0000)
In (0.7500, 0.2500, 0.5000)
In (0.2500, 0.7500, 0.5000)

The density comes out at 6.1 Mg/m³. As for the formation energy without anion corrections: -0.225 eV per atom. The value obtained for the density of states at the Fermi level is 1.01 states/eV/f.u. Its energy above the most stable polymorph in this dataset is 0.000 eV per formula unit. The total magnetization is 0.0 μB per cell. The space-group type is I4/mmm.

---

In3Te3I after structural relaxation, computed with PBEsol.

Cell lengths 4.3060, 11.5987, 19.6764 Å; angles 90.00, 90.00, 90.00 degrees
Fractional positions:
Te (0.2500, 0.9109, 0.6471)
Te (0.2500, 0.7576, 0.2978)
Te (0.7500, 0.7424, 0.7978)
Te (0.2500, 0.4109, 0.8529)
Te (0.7500, 0.0891, 0.3529)
Te (0.7500, 0.2424, 0.7022)
Te (0.2500, 0.2576, 0.2022)
Te (0.2500, 0.3434, 0.4909)
Te (0.7500, 0.6566, 0.5091)
Te (0.7500, 0.1566, 0.9909)
Te (0.7500, 0.5891, 0.1471)
Te (0.2500, 0.8434, 0.0091)
I (0.7500, 0.9255, 0.1738)
I (0.2500, 0.0745, 0.8262)
I (0.2500, 0.5745, 0.6738)
I (0.7500, 0.4255, 0.3262)
In (0.7500, 0.0563, 0.6070)
In (0.7500, 0.5563, 0.8930)
In (0.7500, 0.1805, 0.4862)
In (0.2500, 0.8195, 0.5138)
In (0.2500, 0.4437, 0.1070)
In (0.2500, 0.8481, 0.8665)
In (0.2500, 0.3481, 0.6335)
In (0.7500, 0.6805, 0.0138)
In (0.2500, 0.9437, 0.3930)
In (0.7500, 0.6519, 0.3665)
In (0.7500, 0.1519, 0.1335)
In (0.2500, 0.3195, 0.9862)

The density comes out at 5.8 Mg/m³. As for the formation energy without anion corrections: -0.335 eV per atom. The total magnetization is 0.0 μB per cell. The space-group type is Pnma.

---

TlInTeI2 after structural relaxation, computed with PBEsol.

Cell lengths 5.7042, 5.9705, 5.9705 Å; angles 90.00, 90.00, 90.00 degrees
Fractional positions:
Te (0.5000, 0.0000, 0.0000)
I (0.0000, 0.5000, 0.0000)
I (0.0000, 0.0000, 0.5000)
Tl (0.0000, 0.0000, 0.0000)
In (0.5000, 0.5000, 0.5000)

The density comes out at 5.7 Mg/m³. As for the formation energy without anion corrections: 0.045 eV per atom. The value obtained for the density of states at the Fermi level is 3.86 states/eV/f.u. The total magnetization is 0.0 μB per cell. The space-group type is P4/mmm.

---

ZnInTe2I after structural relaxation, computed with PBEsol.

Cell lengths 5.6255, 5.6255, 5.7349 Å; angles 90.00, 90.00, 90.00 degrees
Fractional positions:
In (0.0000, 0.0000, 0.0000)
I (0.0000, 0.0000, 0.5000)
Te (0.0000, 0.5000, 0.0000)
Te (0.5000, 0.0000, 0.0000)
Zn (0.5000, 0.5000, 0.5000)

The density comes out at 5.1 Mg/m³. As for the formation energy without anion corrections: 0.457 eV per atom. The value obtained for the density of states at the Fermi level is 6.28 states/eV/f.u. The total magnetization is 0.0 μB per cell. The space-group type is P4/mmm.

---

| no. | VASP energy (eV/cell) |
| --- | --- |
| 1 | -30.83 |
| 2 | -14.58 |
| 3 | -18.57 |
| 4 | -15.61 |
| 5 | -15.91 |
| 6 | -94.55 |
| 7 | -12.45 |
| 8 | -11.10 |